# MnCoP2, optimized geometry, DFT GGA-PBE
data_MnCoP2
_cell_length_a 5.8252
_cell_length_b 5.8252
_cell_length_c 5.8252
_cell_angle_alpha 90.00
_cell_angle_beta 90.00
_cell_angle_gamma 90.00
_space_group_name_H-M_alt 'F -4 3 m'
_space_group_IT_number 216
_space_group_name_Hall 'F -4 2 3'
loop_
_atom_site_label
_atom_site_fract_x
_atom_site_fract_y
_atom_site_fract_z
_atom_site_occupancy
Mn1 0.0000 0.0000 0.0000 1
Co1 0.2500 0.2500 0.7500 1
P1 0.0000 0.0000 0.5000 1
P2 0.2500 0.2500 0.2500 1
# * total magnetic moment: 15.81 Bohr magnetons per cell
# * crystal system: cubic
# * E: -6.498 eV/atom
# * ΔE to the lowest computed polymorph: 886 meV per atom
# * N(E_F): 1.0842 states/eV per atom
# * E_form: 106.3 kJ/mol of formula units

---

# Ac2BAsRh6, optimized geometry, DFT GGA-PBE
data_Ac2BAsRh6
_cell_length_a 4.5580
_cell_length_b 4.5580
_cell_length_c 8.9338
_cell_angle_alpha 90.00
_cell_angle_beta 90.00
_cell_angle_gamma 90.00
_space_group_name_H-M_alt 'P 4/m m m'
_space_group_IT_number 123
_space_group_name_Hall '-P 4 2'
loop_
_atom_site_label
_atom_site_fract_x
_atom_site_fract_y
_atom_site_fract_z
_atom_site_occupancy
Ac1 0.0000 0.0000 0.2379 1
B1 0.5000 0.5000 0.0000 1
As1 0.5000 0.5000 0.5000 1
Rh1 0.0000 0.5000 0.0000 1
Rh2 0.0000 0.5000 0.5000 1
Rh3 0.5000 0.5000 0.2284 1
# * total magnetic moment: 0.00 Bohr magnetons per cell
# * crystal system: tetragonal
# * E: -6.901 eV/atom
# * N(E_F): 0.1774 states/eV per atom
# * E_form: -516.7 kJ/mol of formula units